The following is a GGA-PBE calculation of an optimized crystal structure of Sb2RuSe, from the Alexandria database.

Unit cell a=7.3832 b=7.3832 c=7.3832 alpha=129.07 beta=129.07 gamma=74.90
Fractional positions:
Sb 0.0767 0.6250 0.9517
Sb 0.3750 0.3267 0.4517
Sb 0.6733 0.1250 0.0483
Sb 0.8750 0.9233 0.5483
Ru 0.0000 0.0000 0.0000
Ru 0.7500 0.2500 0.5000
Se 0.2500 0.7500 0.5000
Se 0.5000 0.5000 0.0000

As for the calculated volume: 236 Å³/cell. The calculation puts the density of states at the Fermi level at 0.80 states/eV/f.u. For the formation energy from raw total energies, the calculation gives 0.216 eV/atom. As for the space-group type: I-42d, No. 122.


The following is a GGA-PBE calculation of an optimized crystal structure of SbRu2Se, from the Alexandria database.

Unit cell a=3.0452 b=3.0452 c=8.4107 alpha=90.00 beta=90.00 gamma=90.00
Fractional positions:
Sb 0.0000 0.0000 0.0000
Ru 0.0000 0.0000 0.5762
Ru 0.5000 0.5000 0.8022
Se 0.5000 0.5000 0.4176

As for the calculated volume: 78 Å³/cell. Its polymorph energy (0 for the lowest one) is 27 meV per atom. The calculation puts the density of states at the Fermi level at 2.86 states/eV/f.u. For the formation energy from raw total energies, the calculation gives 0.058 eV/atom. As for the space-group type: P4mm, No. 99.


The following is a GGA-PBE calculation of an optimized crystal structure of Sb2RuSe, from the Alexandria database.

Unit cell a=4.9948 b=4.9948 c=3.3781 alpha=90.00 beta=90.00 gamma=102.65
Fractional positions:
Sb 0.0000 0.5000 0.0000
Sb 0.5000 0.0000 0.0000
Ru 0.0000 0.0000 0.5000
Se 0.5000 0.5000 0.5000

As for the calculated volume: 82 Å³/cell. The calculation puts the density of states at the Fermi level at 2.36 states/eV/f.u. For the formation energy from raw total energies, the calculation gives 0.392 eV/atom. As for the space-group type: Cmmm, No. 65.


The following is a GGA-PBE calculation of an optimized crystal structure of Sb2RuSe, from the Alexandria database.

Unit cell a=3.1134 b=3.1134 c=9.2035 alpha=90.00 beta=90.00 gamma=90.00
Fractional positions:
Sb 0.0000 0.0000 0.0000
Sb 0.5000 0.5000 0.3013
Ru 0.5000 0.5000 0.7854
Se 0.0000 0.0000 0.6383

As for the calculated volume: 89 Å³/cell. The calculation puts the density of states at the Fermi level at 3.77 states/eV/f.u. For the formation energy from raw total energies, the calculation gives 0.103 eV/atom. As for the space-group type: P4mm, No. 99.


The following is a GGA-PBE calculation of an optimized crystal structure of SbRu2Se, from the Alexandria database.

Unit cell a=5.6269 b=5.6269 c=5.6269 alpha=147.00 beta=134.14 gamma=57.64
Fractional positions:
Sb 0.0000 0.0000 0.0000
Ru 0.4660 0.4660 0.0000
Ru 0.7641 0.2641 0.5000
Se 0.2712 0.7712 0.5000

As for the calculated volume: 69 Å³/cell. Its polymorph energy (0 for the lowest one) is 220 meV per atom. The calculation puts the density of states at the Fermi level at 2.96 states/eV/f.u. For the formation energy from raw total energies, the calculation gives 0.251 eV/atom. As for the space-group type: Imm2, No. 44.


The following is a GGA-PBE calculation of an optimized crystal structure of SbRu2Se, from the Alexandria database.

Unit cell a=4.3660 b=4.3660 c=5.4211 alpha=102.36 beta=102.36 gamma=41.94
Fractional positions:
Sb 0.0000 0.0000 0.0000
Ru 0.2485 0.2485 0.7314
Ru 0.7515 0.7515 0.2686
Se 0.5000 0.5000 0.5000

As for the calculated volume: 67 Å³/cell. Its polymorph energy (0 for the lowest one) is 125 meV per atom. The calculation puts the density of states at the Fermi level at 2.95 states/eV/f.u. For the formation energy from raw total energies, the calculation gives 0.156 eV/atom. As for the space-group type: C2/m, No. 12.


The following is a GGA-PBE calculation of an optimized crystal structure of Sb4RuSe, from the Alexandria database.

Unit cell a=6.0847 b=6.0847 c=6.0847 alpha=60.00 beta=60.00 gamma=60.00
Fractional positions:
Sb 0.1247 0.1247 0.1247
Sb 0.1247 0.1247 0.6258
Sb 0.1247 0.6258 0.1247
Sb 0.6258 0.1247 0.1247
Ru 0.5000 0.5000 0.5000
Se 0.7500 0.7500 0.7500

As for the calculated volume: 159 Å³/cell. Its polymorph energy (0 for the lowest one) is 968 meV per atom. The calculation puts the density of states at the Fermi level at 6.84 states/eV/f.u. For the formation energy from raw total energies, the calculation gives 0.931 eV/atom. As for the space-group type: F-43m, No. 216.


The following is a GGA-PBE calculation of an optimized crystal structure of Sb2RuSe, from the Alexandria database.

Unit cell a=6.7764 b=6.7764 c=6.7764 alpha=152.67 beta=141.13 gamma=48.17
Fractional positions:
Sb 0.1787 0.1787 0.0000
Sb 0.8213 0.8213 0.0000
Ru 0.0000 0.5000 0.5000
Se 0.5000 0.0000 0.5000

As for the calculated volume: 89 Å³/cell. The calculation puts the density of states at the Fermi level at 3.38 states/eV/f.u. For the formation energy from raw total energies, the calculation gives 0.143 eV/atom. As for the space-group type: Immm, No. 71.


The following is a GGA-PBE calculation of an optimized crystal structure of SbRuSe2, from the Alexandria database.

Unit cell a=8.6553 b=8.6553 c=8.6553 alpha=24.35 beta=24.35 gamma=24.35
Fractional positions:
Sb 0.0000 0.0000 0.0000
Ru 0.5000 0.5000 0.5000
Se 0.1142 0.1142 0.1142
Se 0.8858 0.8858 0.8858

As for the calculated volume: 97 Å³/cell. The calculation puts the density of states at the Fermi level at 4.22 states/eV/f.u. For the formation energy from raw total energies, the calculation gives -0.045 eV/atom. As for the space-group type: R-3m, No. 166.


The following is a GGA-PBE calculation of an optimized crystal structure of SbRuSe2, from the Alexandria database.

Unit cell a=4.7453 b=4.7453 c=4.7453 alpha=109.05 beta=109.05 gamma=110.31
Fractional positions:
Sb 0.0000 0.0000 0.0000
Ru 0.5000 0.5000 0.0000
Se 0.0000 0.5000 0.5000
Se 0.5000 0.0000 0.5000

As for the calculated volume: 82 Å³/cell. The calculation puts the density of states at the Fermi level at 2.51 states/eV/f.u. For the formation energy from raw total energies, the calculation gives 0.253 eV/atom. As for the space-group type: I4/mmm, No. 139.


The following is a GGA-PBE calculation of an optimized crystal structure of Sb2RuSe, from the Alexandria database.

Unit cell a=6.5902 b=6.5902 c=6.5902 alpha=152.20 beta=137.06 gamma=51.93
Fractional positions:
Sb 0.0000 0.0000 0.0000
Sb 0.6723 0.1723 0.5000
Ru 0.4710 0.4710 0.0000
Se 0.3087 0.8087 0.5000

As for the calculated volume: 91 Å³/cell. The calculation puts the density of states at the Fermi level at 2.99 states/eV/f.u. For the formation energy from raw total energies, the calculation gives 0.117 eV/atom. As for the space-group type: Imm2, No. 44.


The following is a GGA-PBE calculation of an optimized crystal structure of SbRu2Se, from the Alexandria database.

Unit cell a=7.0270 b=7.0270 c=7.0270 alpha=132.67 beta=132.67 gamma=69.17
Fractional positions:
Sb 0.0000 0.0000 0.0000
Sb 0.7500 0.2500 0.5000
Ru 0.1582 0.6250 0.0332
Ru 0.3750 0.4082 0.5332
Ru 0.5918 0.1250 0.9668
Ru 0.8750 0.8418 0.4668
Se 0.2500 0.7500 0.5000
Se 0.5000 0.5000 0.0000

As for the calculated volume: 184 Å³/cell. Its polymorph energy (0 for the lowest one) is 233 meV per atom. The calculation puts the density of states at the Fermi level at 2.40 states/eV/f.u. For the formation energy from raw total energies, the calculation gives 0.264 eV/atom. As for the space-group type: I-42d, No. 122.


The following is a GGA-PBE calculation of an optimized crystal structure of Sb2RuSe, from the Alexandria database.

Unit cell a=4.8950 b=4.8950 c=4.8950 alpha=60.00 beta=60.00 gamma=60.00
Fractional positions:
Sb 0.0000 0.0000 0.0000
Sb 0.2500 0.2500 0.2500
Ru 0.7500 0.7500 0.7500
Se 0.5000 0.5000 0.5000

As for the calculated volume: 83 Å³/cell. The calculation puts the density of states at the Fermi level at 3.86 states/eV/f.u. For the formation energy from raw total energies, the calculation gives 0.469 eV/atom. As for the space-group type: F-43m, No. 216.


The following is a GGA-PBE calculation of an optimized crystal structure of SbRuSe2, from the Alexandria database.

Unit cell a=12.6062 b=12.6062 c=12.6062 alpha=13.52 beta=13.52 gamma=13.52
Fractional positions:
Sb 0.0000 0.0000 0.0000
Ru 0.5000 0.5000 0.5000
Se 0.4367 0.4367 0.4367
Se 0.5633 0.5633 0.5633

As for the calculated volume: 95 Å³/cell. The calculation puts the density of states at the Fermi level at 3.43 states/eV/f.u. For the formation energy from raw total energies, the calculation gives 0.466 eV/atom. As for the space-group type: R-3m, No. 166.


The following is a GGA-PBE calculation of an optimized crystal structure of Sb2RuSe, from the Alexandria database.

Unit cell a=3.1642 b=3.1642 c=8.7827 alpha=90.00 beta=90.00 gamma=90.00
Fractional positions:
Sb 0.0000 0.0000 0.1944
Sb 0.0000 0.0000 0.8056
Ru 0.5000 0.5000 0.0000
Se 0.5000 0.5000 0.5000

As for the calculated volume: 88 Å³/cell. The calculation puts the density of states at the Fermi level at 2.37 states/eV/f.u. For the formation energy from raw total energies, the calculation gives 0.090 eV/atom. As for the space-group type: P4/mmm, No. 123.


The following is a GGA-PBE calculation of an optimized crystal structure of SbRu2Se, from the Alexandria database.

Unit cell a=10.0047 b=10.0047 c=10.0047 alpha=17.84 beta=17.84 gamma=17.84
Fractional positions:
Sb 0.0000 0.0000 0.0000
Ru 0.4762 0.4762 0.4762
Ru 0.7346 0.7346 0.7346
Se 0.1978 0.1978 0.1978

As for the calculated volume: 82 Å³/cell. Its polymorph energy (0 for the lowest one) is 173 meV per atom. The calculation puts the density of states at the Fermi level at 3.17 states/eV/f.u. For the formation energy from raw total energies, the calculation gives 0.204 eV/atom. As for the space-group type: R3m, No. 160.


The following is a GGA-PBE calculation of an optimized crystal structure of Sb2RuSe, from the Alexandria database.

Unit cell a=7.8183 b=7.8183 c=7.8183 alpha=27.07 beta=27.07 gamma=27.07
Fractional positions:
Sb 0.2412 0.2412 0.2412
Sb 0.7588 0.7588 0.7588
Ru 0.5000 0.5000 0.5000
Se 0.0000 0.0000 0.0000

As for the calculated volume: 87 Å³/cell. The calculation puts the density of states at the Fermi level at 2.77 states/eV/f.u. For the formation energy from raw total energies, the calculation gives 0.057 eV/atom. As for the space-group type: R-3m, No. 166.


The following is a GGA-PBE calculation of an optimized crystal structure of SbRuSe2, from the Alexandria database.

Unit cell a=5.1153 b=5.1153 c=3.6089 alpha=90.00 beta=90.00 gamma=118.16
Fractional positions:
Sb 0.0000 0.0000 0.0000
Ru 0.5000 0.5000 0.0000
Se 0.3012 0.6988 0.5000
Se 0.6988 0.3012 0.5000

As for the calculated volume: 83 Å³/cell. The calculation puts the density of states at the Fermi level at 2.24 states/eV/f.u. For the formation energy from raw total energies, the calculation gives -0.069 eV/atom. As for the space-group type: Cmmm, No. 65.


The following is a GGA-PBE calculation of an optimized crystal structure of SbRuSe2, from the Alexandria database.

Unit cell a=6.6312 b=6.6312 c=6.6312 alpha=119.99 beta=119.99 gamma=90.02
Fractional positions:
Sb 0.0000 0.0000 0.0000
Sb 0.7500 0.2500 0.5000
Ru 0.2500 0.7500 0.5000
Ru 0.5000 0.5000 0.0000
Se 0.1873 0.6250 0.0623
Se 0.3750 0.4373 0.5623
Se 0.5627 0.1250 0.9377
Se 0.8750 0.8127 0.4377

As for the calculated volume: 206 Å³/cell. The calculation puts the density of states at the Fermi level at 3.42 states/eV/f.u. For the formation energy from raw total energies, the calculation gives 0.186 eV/atom. As for the space-group type: I-42d, No. 122.


The following is a GGA-PBE calculation of an optimized crystal structure of SbRu3Se, from the Alexandria database.

Unit cell a=4.8782 b=4.8782 c=4.8782 alpha=90.00 beta=90.00 gamma=90.00
Fractional positions:
Sb 0.0000 0.0000 0.0000
Ru 0.0000 0.0000 0.5000
Ru 0.0000 0.5000 0.0000
Ru 0.5000 0.0000 0.0000
Se 0.5000 0.5000 0.5000

As for the calculated volume: 116 Å³/cell. Its polymorph energy (0 for the lowest one) is 775 meV per atom. The calculation puts the density of states at the Fermi level at 3.89 states/eV/f.u. For the formation energy from raw total energies, the calculation gives 1.648 eV/atom. As for the space-group type: Pm-3m, No. 221.